Entry 1:
A PBEsol-optimized structure of Al2CoIr, computed with meta-GGA SCAN.

a = 2.928 Å, b = 4.125 Å, c = 4.125 Å
α = 90.00°, β = 90.00°, γ = 90.00°
Last column: magnetic moment on the atom in μB.
Positions (direct):
Ir (0.500, 0.000, 0.000)  0.09
Co (0.500, 0.500, 0.500)  -0.57
Al (0.000, 0.000, 0.500)  0.01
Al (0.000, 0.500, 0.000)  0.01

Output
* calculated total energy: -26.92 eV/atom
* symmetry: P4/mmm, No. 123
* offset from the most stable computed form: 0.032 eV/atom
* DFT formation energy: -0.94 eV/atom

Entry 2:
A PBEsol-optimized structure of LiMg2Cd, computed with meta-GGA SCAN.

a = 3.018 Å, b = 4.691 Å, c = 5.834 Å
α = 90.00°, β = 104.40°, γ = 90.00°
Positions (direct):
Mg (0.040, 0.000, 0.978)
Mg (0.729, 0.500, 0.268)
Cd (0.405, 0.000, 0.505)
Li (0.326, 0.500, 0.749)

Output
* calculated total energy: -10.84 eV/atom
* symmetry: Pm, No. 6
* DFT formation energy: -0.15 eV/atom

Entry 3:
A PBEsol-optimized structure of MgTlW, computed with meta-GGA SCAN.

a = 3.013 Å, b = 3.013 Å, c = 7.310 Å
α = 90.00°, β = 90.00°, γ = 120.00°
Positions (direct):
Mg (0.000, 0.000, 0.014)
Tl (0.667, 0.333, 0.660)
W (0.333, 0.667, 0.326)

Output
* calculated total energy: -48.36 eV/atom
* symmetry: P3m1, No. 156
* offset from the most stable computed form: 0.000 eV/atom
* DFT formation energy: 0.65 eV/atom

Entry 4:
A PBEsol-optimized structure of Ho3AlN, computed with meta-GGA SCAN.

a = 4.686 Å, b = 4.686 Å, c = 4.686 Å
α = 90.00°, β = 90.00°, γ = 90.00°
Positions (direct):
Al (0.000, 0.000, 0.000)
Ho (0.000, 0.500, 0.500)
Ho (0.500, 0.000, 0.500)
Ho (0.500, 0.500, 0.000)
N (0.500, 0.500, 0.500)

Output
* calculated total energy: -33.88 eV/atom
* formation energy from raw total energies: -1.075 eV/atom
* symmetry: Pm-3m, No. 221

Entry 5:
A PBEsol-optimized structure of HfGePIr2, computed with meta-GGA SCAN.

a = 4.429 Å, b = 4.429 Å, c = 4.989 Å
α = 90.00°, β = 90.00°, γ = 90.00°
Positions (direct):
P (0.500, 0.500, 0.500)
Ge (0.000, 0.000, 0.000)
Ir (0.000, 0.500, 0.000)
Ir (0.500, 0.000, 0.000)
Hf (0.000, 0.000, 0.500)

Output
* calculated total energy: -45.94 eV/atom
* symmetry: P4/mmm, No. 123
* DFT formation energy: 0.93 eV/atom

Entry 6:
A PBEsol-optimized structure of BeTlMo2, computed with meta-GGA SCAN.

a = 4.442 Å, b = 4.442 Å, c = 4.442 Å
α = 60.00°, β = 60.00°, γ = 60.00°
Positions (direct):
Be (0.500, 0.500, 0.500)
Tl (0.250, 0.250, 0.250)
Mo (0.000, 0.000, 0.000)
Mo (0.750, 0.750, 0.750)

Output
* calculated total energy: -36.01 eV/atom
* symmetry: F-43m, No. 216
* offset from the most stable computed form: 0.104 eV/atom
* DFT formation energy: 0.62 eV/atom

Entry 7:
A PBEsol-optimized structure of Rb4B9S9, computed with meta-GGA SCAN.

a = 9.975 Å, b = 10.119 Å, c = 10.578 Å
α = 91.71°, β = 104.69°, γ = 109.47°
Positions (direct):
Rb (0.818, 0.380, 0.752)
Rb (0.182, 0.620, 0.248)
Rb (0.750, 0.623, 0.472)
Rb (0.250, 0.377, 0.528)
Rb (0.615, 0.378, 0.130)
Rb (0.385, 0.622, 0.870)
Rb (0.642, 0.005, 0.372)
Rb (0.358, 0.995, 0.628)
B (0.926, 0.263, 0.255)
B (0.074, 0.737, 0.745)
B (0.336, 0.238, 0.855)
B (0.664, 0.762, 0.145)
B (0.368, 0.184, 0.317)
B (0.632, 0.816, 0.683)
B (0.990, 0.042, 0.150)
B (0.010, 0.958, 0.850)
B (0.063, 0.137, 0.915)
B (0.937, 0.863, 0.085)
B (0.171, 0.033, 0.982)
B (0.829, 0.967, 0.018)
B (0.128, 0.976, 0.129)
B (0.872, 0.024, 0.871)
B (0.134, 0.146, 0.089)
B (0.866, 0.854, 0.911)
B (0.950, 0.143, 0.021)
B (0.050, 0.857, 0.979)
S (0.026, 0.891, 0.692)
S (0.974, 0.109, 0.308)
S (0.477, 0.738, 0.545)
S (0.523, 0.262, 0.455)
S (0.518, 0.656, 0.205)
S (0.482, 0.344, 0.795)
S (0.095, 0.621, 0.631)
S (0.905, 0.379, 0.369)
S (0.162, 0.276, 0.827)
S (0.838, 0.724, 0.173)
S (0.352, 0.090, 0.947)
S (0.648, 0.910, 0.053)
S (0.281, 0.988, 0.279)
S (0.719, 0.012, 0.721)
S (0.288, 0.290, 0.204)
S (0.712, 0.710, 0.796)
S (0.906, 0.294, 0.080)
S (0.094, 0.706, 0.920)

Output
* calculated total energy: -11.65 eV/atom
* formation energy from raw total energies: -0.898 eV/atom
* symmetry: P-1, No. 2

Entry 8:
A PBEsol-optimized structure of MnTlCd2, computed with meta-GGA SCAN.

a = 4.221 Å, b = 4.221 Å, c = 4.394 Å
α = 90.00°, β = 90.00°, γ = 90.00°
Last column: magnetic moment on the atom in μB.
Positions (direct):
Cd (0.000, 0.500, 0.000)  -0.06
Cd (0.500, 0.000, 0.000)  -0.06
Mn (0.500, 0.500, 0.500)  4.06
Tl (0.000, 0.000, 0.500)  -0.05

Output
* calculated total energy: -37.77 eV/atom
* symmetry: P4/mmm, No. 123
* offset from the most stable computed form: 0.040 eV/atom
* DFT formation energy: 0.10 eV/atom

Entry 9:
A PBEsol-optimized structure of Cu2AuBr, computed with meta-GGA SCAN.

a = 3.185 Å, b = 4.428 Å, c = 4.422 Å
α = 90.00°, β = 90.00°, γ = 90.00°
Positions (direct):
Au (0.500, 0.500, 0.000)
Br (0.500, 0.000, 0.500)
Cu (0.000, 0.000, 0.000)
Cu (0.000, 0.500, 0.500)

Output
* calculated total energy: -29.45 eV/atom
* formation energy from raw total energies: 0.302 eV/atom
* symmetry: P4/mmm, No. 123
* offset from the most stable computed form: 0.143 eV/atom

Entry 10:
A PBEsol-optimized structure of K2NdI5, computed with meta-GGA SCAN.

a = 9.014 Å, b = 9.702 Å, c = 14.119 Å
α = 90.00°, β = 90.00°, γ = 90.00°
Positions (direct):
K (0.067, 0.995, 0.827)
K (0.933, 0.005, 0.173)
K (0.567, 0.005, 0.673)
K (0.933, 0.495, 0.173)
K (0.433, 0.995, 0.327)
K (0.067, 0.505, 0.827)
K (0.433, 0.505, 0.327)
K (0.567, 0.495, 0.673)
Nd (0.083, 0.250, 0.507)
Nd (0.917, 0.750, 0.493)
Nd (0.583, 0.750, 0.993)
Nd (0.417, 0.250, 0.007)
I (0.877, 0.250, 0.687)
I (0.123, 0.750, 0.313)
I (0.377, 0.750, 0.813)
I (0.623, 0.250, 0.187)
I (0.173, 0.952, 0.574)
I (0.827, 0.048, 0.426)
I (0.673, 0.048, 0.926)
I (0.827, 0.452, 0.426)
I (0.327, 0.952, 0.074)
I (0.173, 0.548, 0.574)
I (0.327, 0.548, 0.074)
I (0.673, 0.452, 0.926)
I (0.436, 0.250, 0.506)
I (0.564, 0.750, 0.494)
I (0.936, 0.750, 0.994)
I (0.064, 0.250, 0.006)
I (0.343, 0.250, 0.790)
I (0.657, 0.750, 0.210)
I (0.843, 0.750, 0.710)
I (0.157, 0.250, 0.290)

Output
* calculated total energy: -32.12 eV/atom
* formation energy from raw total energies: -1.631 eV/atom
* symmetry: Pnma, No. 62

Entry 11:
A PBEsol-optimized structure of Co2SbSe, computed with meta-GGA SCAN.

a = 3.050 Å, b = 3.049 Å, c = 6.273 Å
α = 90.00°, β = 89.84°, γ = 90.00°
Last column: magnetic moment on the atom in μB.
Positions (direct):
Sb (0.500, 0.500, 0.000)  0.02
Co (0.999, 0.000, 0.714)  1.22
Co (0.001, 0.000, 0.286)  1.22
Se (0.500, 0.500, 0.500)  0.09

Output
* calculated total energy: -22.55 eV/atom
* formation energy from raw total energies: 0.438 eV/atom
* symmetry: P2/m, No. 10

Entry 12:
A PBEsol-optimized structure of CsCaH3, computed with meta-GGA SCAN.

a = 4.516 Å, b = 4.516 Å, c = 4.516 Å
α = 90.00°, β = 90.00°, γ = 90.00°
Positions (direct):
Cs (0.500, 0.500, 0.500)
H (0.000, 0.000, 0.500)
H (0.500, 0.000, 0.000)
H (0.000, 0.500, 0.000)
Ca (0.000, 0.000, 0.000)

Output
* calculated total energy: -12.08 eV/atom
* symmetry: Pm-3m, No. 221